No. 1
Density functional theory data (GGA-PBE) for crystalline CuMo2HRh at its relaxed geometry.

Cell and atoms, written as CIF:
```
data_CuMo2HRh
_symmetry_space_group_name_H-M 'P 4/m m m'
_symmetry_Int_Tables_number 123
_symmetry_space_group_name_Hall '-P 4 2'
_cell_length_a 3.8793
_cell_length_b 3.8793
_cell_length_c 4.0159
_cell_angle_alpha 90.00
_cell_angle_beta 90.00
_cell_angle_gamma 90.00
loop_
_atom_site_label
_atom_site_type_symbol
_atom_site_fract_x
_atom_site_fract_y
_atom_site_fract_z
_atom_site_occupancy
Cu1 Cu 0.0000 0.0000 0.0000 1
Mo1 Mo 0.0000 0.5000 0.5000 1
H1 H 0.0000 0.0000 0.5000 1
Rh1 Rh 0.5000 0.5000 0.0000 1
```

Results
- DOS(E_F) (states/eV/atom) = 1.031
- E above lowest polymorph (meV/atom) = 2
- total energy (eV per atom) = -7.1718
- crystal system = tetragonal


No. 2
Density functional theory data (GGA-PBE) for crystalline Be2HgBr at its relaxed geometry.

Cell and atoms, written as CIF:
```
data_Be2HgBr
_symmetry_space_group_name_H-M 'P 4/m m m'
_symmetry_Int_Tables_number 123
_symmetry_space_group_name_Hall '-P 4 2'
_cell_length_a 3.1166
_cell_length_b 3.1166
_cell_length_c 7.1435
_cell_angle_alpha 90.00
_cell_angle_beta 90.00
_cell_angle_gamma 90.00
loop_
_atom_site_label
_atom_site_type_symbol
_atom_site_fract_x
_atom_site_fract_y
_atom_site_fract_z
_atom_site_occupancy
Be1 Be 0.0000 0.0000 0.2248 1
Hg1 Hg 0.5000 0.5000 0.0000 1
Br1 Br 0.5000 0.5000 0.5000 1
```

Results
- DOS(E_F) (states/eV/atom) = 0.385
- E above lowest polymorph (meV/atom) = 540
- total energy (eV per atom) = -1.6280
- crystal system = tetragonal


No. 3
Density functional theory data (GGA-PBE) for crystalline Na2CaNbIr at its relaxed geometry.

Cell and atoms, written as CIF:
```
data_Na2CaNbIr
_symmetry_space_group_name_H-M 'P 4/m m m'
_symmetry_Int_Tables_number 123
_symmetry_space_group_name_Hall '-P 4 2'
_cell_length_a 5.5551
_cell_length_b 5.5551
_cell_length_c 4.7651
_cell_angle_alpha 90.00
_cell_angle_beta 90.00
_cell_angle_gamma 90.00
loop_
_atom_site_label
_atom_site_type_symbol
_atom_site_fract_x
_atom_site_fract_y
_atom_site_fract_z
_atom_site_occupancy
Na1 Na 0.0000 0.5000 0.0000 1
Ca1 Ca 0.0000 0.0000 0.5000 1
Nb1 Nb 0.5000 0.5000 0.0000 1
Ir1 Ir 0.5000 0.5000 0.5000 1
```

Results
- DOS(E_F) (states/eV/atom) = 1.018
- total energy (eV per atom) = -3.8682
- crystal system = tetragonal
- formation enthalpy at 0 K (eV/atom) = 0.85


No. 4
Density functional theory data (GGA-PBE) for crystalline PmNd6SmDy2 at its relaxed geometry.

Cell and atoms, written as CIF:
```
data_PmNd6SmDy2
_symmetry_space_group_name_H-M 'C 1 2/c 1'
_symmetry_Int_Tables_number 15
_symmetry_space_group_name_Hall '-C 2yc'
_cell_length_a 9.3144
_cell_length_b 15.3468
_cell_length_c 9.7731
_cell_angle_alpha 90.00
_cell_angle_beta 97.82
_cell_angle_gamma 90.00
loop_
_atom_site_label
_atom_site_type_symbol
_atom_site_fract_x
_atom_site_fract_y
_atom_site_fract_z
_atom_site_occupancy
Pm1 Pm 0.0000 0.0921 0.2500 1
Nd1 Nd 0.0649 0.3224 0.4447 1
Nd2 Nd 0.0971 0.1078 0.6194 1
Nd3 Nd 0.2102 0.2754 0.8155 1
Sm1 Sm 0.0000 0.4716 0.7500 1
Dy1 Dy 0.2461 0.4515 0.0466 1
```

Results
- DOS(E_F) (states/eV/atom) = 1.476
- total energy (eV per atom) = -4.6139
- crystal system = monoclinic
- formation enthalpy at 0 K (eV/atom) = 0.11


No. 5
Density functional theory data (GGA-PBE) for crystalline TbEuTlNi at its relaxed geometry.

Cell and atoms, written as CIF:
```
data_TbEuTlNi
_symmetry_space_group_name_H-M 'F -4 3 m'
_symmetry_Int_Tables_number 216
_symmetry_space_group_name_Hall 'F -4 2 3'
_cell_length_a 7.3824
_cell_length_b 7.3824
_cell_length_c 7.3824
_cell_angle_alpha 90.00
_cell_angle_beta 90.00
_cell_angle_gamma 90.00
loop_
_atom_site_label
_atom_site_type_symbol
_atom_site_fract_x
_atom_site_fract_y
_atom_site_fract_z
_atom_site_occupancy
Tb1 Tb 0.0000 0.0000 0.0000 1
Eu1 Eu 0.0000 0.0000 0.5000 1
Tl1 Tl 0.2500 0.2500 0.2500 1
Ni1 Ni 0.2500 0.2500 0.7500 1
```

Results
- DOS(E_F) (states/eV/atom) = 1.994
- total energy (eV per atom) = -5.9145
- crystal system = cubic
- formation enthalpy at 0 K (eV/atom) = -0.15


No. 6
Density functional theory data (GGA-PBE) for crystalline Ac4BeSn2 at its relaxed geometry.

Cell and atoms, written as CIF:
```
data_Ac4BeSn2
_symmetry_space_group_name_H-M 'I 4/m m m'
_symmetry_Int_Tables_number 139
_symmetry_space_group_name_Hall '-I 4 2'
_cell_length_a 5.3869
_cell_length_b 5.3869
_cell_length_c 17.9695
_cell_angle_alpha 90.00
_cell_angle_beta 90.00
_cell_angle_gamma 90.00
loop_
_atom_site_label
_atom_site_type_symbol
_atom_site_fract_x
_atom_site_fract_y
_atom_site_fract_z
_atom_site_occupancy
Ac1 Ac 0.0000 0.0000 0.1762 1
Ac2 Ac 0.0000 0.5000 0.0000 1
Be1 Be 0.0000 0.0000 0.0000 1
Sn1 Sn 0.0000 0.0000 0.3649 1
```

Results
- DOS(E_F) (states/eV/atom) = 0.731
- total energy (eV per atom) = -4.2214
- crystal system = tetragonal
- formation enthalpy at 0 K (eV/atom) = -0.20


No. 7
Density functional theory data (GGA-PBE) for crystalline MnSnAsPtI at its relaxed geometry.

Cell and atoms, written as CIF:
```
data_MnSnAsPtI
_symmetry_space_group_name_H-M 'P m m 2'
_symmetry_Int_Tables_number 25
_symmetry_space_group_name_Hall 'P 2 -2'
_cell_length_a 3.6541
_cell_length_b 3.7259
_cell_length_c 8.7043
_cell_angle_alpha 90.00
_cell_angle_beta 90.00
_cell_angle_gamma 90.00
loop_
_atom_site_label
_atom_site_type_symbol
_atom_site_fract_x
_atom_site_fract_y
_atom_site_fract_z
_atom_site_occupancy
Mn1 Mn 0.0000 0.0000 0.0000 1
Sn1 Sn 0.5000 0.0000 0.6264 1
As1 As 0.5000 0.5000 0.9718 1
Pt1 Pt 0.0000 0.5000 0.7600 1
I1 I 0.0000 0.0000 0.2991 1
```

Results
- DOS(E_F) (states/eV/atom) = 0.465
- E above lowest polymorph (meV/atom) = 59
- total energy (eV per atom) = -5.2653
- crystal system = orthorhombic


No. 8
Density functional theory data (GGA-PBE) for crystalline CuReCl at its relaxed geometry.

Cell and atoms, written as CIF:
```
data_CuReCl
_symmetry_space_group_name_H-M 'P -6 m 2'
_symmetry_Int_Tables_number 187
_symmetry_space_group_name_Hall 'P -6 2'
_cell_length_a 4.3243
_cell_length_b 4.3243
_cell_length_c 2.7044
_cell_angle_alpha 90.00
_cell_angle_beta 90.00
_cell_angle_gamma 120.00
loop_
_atom_site_label
_atom_site_type_symbol
_atom_site_fract_x
_atom_site_fract_y
_atom_site_fract_z
_atom_site_occupancy
Cu1 Cu 0.0000 0.0000 0.0000 1
Re1 Re 0.3333 0.6667 0.5000 1
Cl1 Cl 0.6667 0.3333 0.5000 1
```

Results
- DOS(E_F) (states/eV/atom) = 0.788
- E above lowest polymorph (meV/atom) = 388
- total energy (eV per atom) = -5.2022
- crystal system = hexagonal